[1]
A plane-wave DFT calculation with PBE was carried out for a relaxed La8Ga2Pt crystal.

DFT formation energy = -433.1 meV per atom
V = 338.2 Å³ per cell

Unit cell a=5.159 b=6.981 c=10.036 alpha=103.96 beta=104.89 gamma=90.00
Element x y z (fractional)
1 La 0.408 0.548 0.816
2 La 0.658 0.971 0.315
3 La 0.789 0.699 0.579
4 La 0.979 0.212 0.959
5 La 0.211 0.301 0.421
6 La 0.342 0.029 0.685
7 La 0.592 0.452 0.184
8 La 0.021 0.788 0.041
9 Ga 0.817 0.270 0.635
10 Ga 0.183 0.730 0.365
11 Pt 0.500 0.000 0.000


[2]
A plane-wave DFT calculation with PBE was carried out for a relaxed SbTe2PbC crystal.

V = 206.1 Å³ per cell
ΔE_f (raw) = 202 kJ/mol of atoms
energy above the lowest structure with this stoichiometry = 1264.5 meV per atom

Unit cell a=5.891 b=5.891 c=5.939 alpha=90.00 beta=90.00 gamma=90.00
Site moments in Bohr magnetons follow the coordinates.
Element x y z (fractional)
1 Pb 0.000 0.000 0.000  -0.01
2 Sb 0.000 0.000 0.500  -0.43
3 C 0.500 0.500 0.500  0.92
4 Te 0.000 0.500 0.000  -0.16
5 Te 0.500 0.000 0.000  -0.16


Number 1: ρ 7.10 g/cm³. Number 2: ρ 4.80 g/cm³.